Record 1
A plane-wave DFT calculation with PBE with a Hubbard U was carried out for a relaxed TbSbMo2O9 crystal.

Cell and atoms, written as CIF:
```
data_TbSbMo2O9
_chemical_formula_sum 'Tb4 Sb4 Mo8 O36'
_cell_length_a 9.735
_cell_length_b 9.735
_cell_length_c 10.898
_cell_angle_alpha 111.85
_cell_angle_beta 111.85
_cell_angle_gamma 95.44
_symmetry_space_group_name_H-M 'P 1'
_symmetry_Int_Tables_number 1
_symmetry_space_group_name_Hall 'P 1'
loop_
_atom_site_label
_atom_site_type_symbol
_atom_site_fract_x
_atom_site_fract_y
_atom_site_fract_z
O1 O 0.957 0.780 0.828
O2 O 0.367 0.209 0.298
O3 O 0.379 0.858 0.775
O4 O 0.220 0.043 0.672
O5 O 0.780 0.957 0.328
O6 O 0.577 0.458 0.600
O7 O 0.694 0.021 0.997
O8 O 0.594 0.779 0.421
O9 O 0.221 0.406 0.079
O10 O 0.903 0.931 0.603
O11 O 0.458 0.577 0.100
O12 O 0.021 0.694 0.497
O13 O 0.129 0.703 0.069
O14 O 0.906 0.444 0.748
O15 O 0.406 0.221 0.579
O16 O 0.423 0.542 0.400
O17 O 0.633 0.791 0.702
O18 O 0.556 0.094 0.752
O19 O 0.297 0.871 0.431
O20 O 0.791 0.633 0.202
O21 O 0.931 0.903 0.103
O22 O 0.209 0.367 0.798
O23 O 0.444 0.906 0.248
O24 O 0.858 0.379 0.275
O25 O 0.069 0.097 0.897
O26 O 0.306 0.979 0.003
O27 O 0.979 0.306 0.503
O28 O 0.779 0.594 0.921
O29 O 0.043 0.220 0.172
O30 O 0.542 0.423 0.900
O31 O 0.703 0.129 0.569
O32 O 0.142 0.621 0.725
O33 O 0.097 0.069 0.397
O34 O 0.871 0.297 0.931
O35 O 0.621 0.142 0.225
O36 O 0.094 0.556 0.252
Sb1 Sb 0.650 0.621 0.537
Sb2 Sb 0.379 0.350 0.963
Sb3 Sb 0.621 0.650 0.037
Sb4 Sb 0.350 0.379 0.463
Tb1 Tb 0.125 0.875 0.750
Tb2 Tb 0.875 0.125 0.250
Tb3 Tb 0.328 0.672 0.250
Tb4 Tb 0.672 0.328 0.750
Mo1 Mo 0.259 0.047 0.524
Mo2 Mo 0.565 0.943 0.807
Mo3 Mo 0.435 0.057 0.193
Mo4 Mo 0.057 0.435 0.693
Mo5 Mo 0.741 0.953 0.476
Mo6 Mo 0.047 0.259 0.024
Mo7 Mo 0.953 0.741 0.976
Mo8 Mo 0.943 0.565 0.307
```

Record 2
A plane-wave DFT calculation with PBE with a Hubbard U was carried out for a relaxed TcSbMo2O crystal.

Cell and atoms, written as CIF:
```
data_TcSbMo2O
_chemical_formula_sum 'Tc1 Sb1 Mo2 O1'
_cell_length_a 4.138
_cell_length_b 4.837
_cell_length_c 4.138
_cell_angle_alpha 90.00
_cell_angle_beta 90.00
_cell_angle_gamma 90.00
_symmetry_space_group_name_H-M 'P 1'
_symmetry_Int_Tables_number 1
_symmetry_space_group_name_Hall 'P 1'
loop_
_atom_site_label
_atom_site_type_symbol
_atom_site_fract_x
_atom_site_fract_y
_atom_site_fract_z
Tc1 Tc 0.500 0.500 0.500
Mo1 Mo 0.000 0.000 0.500
Mo2 Mo 0.500 0.000 0.000
Sb1 Sb 0.000 0.500 0.000
O1 O 0.000 0.000 0.000
```

| no. | E_tot (eV per atom) |
| --- | --- |
| 1 | -7.179 |
| 2 | -6.227 |